The following is a GGA-PBE calculation of a relaxed structure of Rb2SnGeBr6, from Alexandria.

## Properties
Formation energy from raw total energies, eV per atom: -1.110
Calculated volume, Å³/cell: 372.1
DOS(E_F), states/eV per atom: 0.000
Space-group type: No. 225

Geometry as extended XYZ:
```
10
Lattice="0.000 5.709 5.709 5.709 0.000 5.709 5.709 5.709 0.000" Properties=species:S:1:pos:R:3 pbc="T T T"
Rb 2.854 2.854 2.854
Rb 8.563 8.563 8.563
Sn 0.000 0.000 0.000
Ge 5.709 5.709 5.709
Br 5.709 5.709 2.924
Br 5.709 2.924 5.709
Br 8.494 5.709 5.709
Br 2.924 5.709 5.709
Br 5.709 8.494 5.709
Br 5.709 5.709 8.494
```



The following is a GGA-PBE calculation of a relaxed structure of Rb2SnGeBr6, from Alexandria.

## Properties
Formation energy from raw total energies, eV per atom: -1.126
Calculated volume, Å³/cell: 724.0
Space-group type: No. 14

Geometry as extended XYZ:
```
20
Lattice="7.876 0.000 0.000 0.000 8.130 0.000 -7.841 0.000 11.306" Properties=species:S:1:pos:R:3 pbc="T T T"
Rb -0.134 0.491 2.818
Rb -4.054 3.575 8.471
Rb 4.089 4.556 2.835
Rb 0.168 7.640 8.488
Sn 3.938 0.000 0.000
Sn 0.017 4.065 5.653
Ge -3.921 0.000 5.653
Ge 0.000 4.065 0.000
Br -6.279 1.743 10.864
Br -2.358 2.322 5.211
Br -5.575 5.700 10.873
Br -1.654 6.495 5.220
Br -3.314 0.108 8.402
Br 0.607 3.957 2.749
Br -0.572 4.173 8.557
Br 3.349 8.022 2.904
Br 1.689 1.635 6.086
Br 5.610 2.430 0.433
Br 2.393 5.808 6.095
Br 6.314 6.388 0.442
```



The following is a GGA-PBE calculation of a relaxed structure of RbSnGe2Br, from Alexandria.

## Properties
Formation energy from raw total energies, eV per atom: 1.412
Calculated volume, Å³/cell: 234.2
DOS(E_F), states/eV per atom: 0.937
Space-group type: No. 123

Geometry as extended XYZ:
```
5
Lattice="5.859 0.000 0.000 0.000 5.859 0.000 0.000 0.000 6.824" Properties=species:S:1:pos:R:3 pbc="T T T"
Rb 0.000 0.000 0.000
Sn 0.000 0.000 3.412
Ge 0.000 2.929 0.000
Ge 2.929 0.000 0.000
Br 2.929 2.929 3.412
```



The following is a GGA-PBE calculation of a relaxed structure of RbSn2GeBr8, from Alexandria.

## Properties
Formation energy from raw total energies, eV per atom: -0.796
Calculated volume, Å³/cell: 460.5
DOS(E_F), states/eV per atom: 0.394
Space-group type: No. 2

Geometry as extended XYZ:
```
12
Lattice="6.995 0.000 0.000 0.634 7.108 0.000 0.930 0.764 9.261" Properties=species:S:1:pos:R:3 pbc="T T T"
Rb 0.000 0.000 0.000
Sn 3.765 3.549 2.362
Sn 4.795 4.323 6.899
Ge 0.465 0.382 4.630
Br 2.670 6.277 6.469
Br 2.461 6.111 2.717
Br 2.309 2.473 4.466
Br 2.272 2.570 0.313
Br 6.287 5.302 8.948
Br 6.250 5.400 4.795
Br 6.098 1.761 6.544
Br 5.890 1.595 2.792
```



The following is a GGA-PBE calculation of a relaxed structure of RbSr2GeBr8, from Alexandria.

## Properties
Formation energy from raw total energies, eV per atom: -1.428
Calculated volume, Å³/cell: 454.3
DOS(E_F), states/eV per atom: 0.475
Space-group type: No. 2

Geometry as extended XYZ:
```
12
Lattice="6.832 0.000 0.000 0.058 7.028 0.000 0.009 0.005 9.461" Properties=species:S:1:pos:R:3 pbc="T T T"
Rb 0.000 0.000 0.000
Sr 3.446 3.515 2.419
Sr 3.454 3.518 7.042
Ge 0.004 0.003 4.731
Br 1.619 5.999 6.620
Br 1.621 6.004 2.840
Br 1.638 2.270 4.733
Br 1.818 2.707 0.001
Br 5.081 4.327 9.461
Br 5.261 4.763 4.728
Br 5.278 1.030 6.621
Br 5.280 1.034 2.841
```



The following is a GGA-PBE calculation of a relaxed structure of RbSrGeBr5, from Alexandria.

## Properties
Formation energy from raw total energies, eV per atom: -1.426
Calculated volume, Å³/cell: 652.3
DOS(E_F), states/eV per atom: 0.000
Space-group type: No. 15

Geometry as extended XYZ:
```
16
Lattice="5.387 -5.984 0.000 5.387 5.984 0.000 -4.539 0.000 10.119" Properties=species:S:1:pos:R:3 pbc="T T T"
Rb 1.982 5.059 7.589
Rb 4.252 -5.059 2.530
Sr 2.693 2.992 0.000
Sr 0.424 -2.992 5.059
Ge 1.982 0.230 7.589
Ge 4.252 -0.230 2.530
Br 1.951 0.166 0.893
Br 4.252 3.420 2.530
Br -0.319 -0.166 5.953
Br 0.997 1.986 9.192
Br 2.968 1.986 5.986
Br 3.266 -1.986 4.133
Br 5.237 -1.986 0.927
Br 6.553 0.166 4.166
Br 1.982 -3.420 7.589
Br 4.283 -0.166 9.226
```



The following is a GGA-PBE calculation of a relaxed structure of Rb2TiGeBr6, from Alexandria.

## Properties
Formation energy from raw total energies, eV per atom: -1.140
Calculated volume, Å³/cell: 330.4
DOS(E_F), states/eV per atom: 1.076
Space-group type: No. 225

Geometry as extended XYZ:
```
10
Lattice="0.000 5.487 5.487 5.487 0.000 5.487 5.487 5.487 0.000" Properties=species:S:1:pos:R:3 pbc="T T T"
Rb 2.744 2.744 2.744
Rb 8.231 8.231 8.231
Ti 0.000 0.000 0.000
Ge 5.487 5.487 5.487
Br 5.487 5.487 2.681
Br 5.487 2.681 5.487
Br 8.294 5.487 5.487
Br 2.681 5.487 5.487
Br 5.487 8.294 5.487
Br 5.487 5.487 8.294
```



The following is a GGA-PBE calculation of a relaxed structure of RbTl2GeBr5, from Alexandria.

## Properties
Formation energy from raw total energies, eV per atom: -0.923
Calculated volume, Å³/cell: 722.4
DOS(E_F), states/eV per atom: 0.000
Space-group type: No. 36

Geometry as extended XYZ:
```
18
Lattice="2.186 -9.458 0.000 2.186 9.458 0.000 0.000 0.000 17.469" Properties=species:S:1:pos:R:3 pbc="T T T"
Rb 2.186 8.316 8.735
Rb 2.186 -8.316 0.000
Tl 2.186 2.902 5.538
Tl 2.186 1.009 12.522
Tl 2.186 -1.009 3.787
Tl 2.186 -2.902 14.273
Ge 2.186 4.850 1.807
Ge 2.186 -4.850 10.542
Br 2.186 8.939 14.573
Br 2.186 7.515 1.479
Br 2.186 4.881 8.679
Br 2.186 4.439 12.525
Br 2.186 1.934 2.384
Br 2.186 -1.934 11.118
Br 2.186 -4.439 3.791
Br 2.186 -4.881 17.414
Br 2.186 -7.515 10.214
Br 2.186 -8.939 5.838
```



The following is a GGA-PBE calculation of a relaxed structure of RbTmGeBr6, from Alexandria.

## Properties
Formation energy from raw total energies, eV per atom: -1.435
Calculated volume, Å³/cell: 353.5
DOS(E_F), states/eV per atom: 0.000
Space-group type: No. 149

Geometry as extended XYZ:
```
9
Lattice="7.301 0.000 0.000 -3.651 6.323 0.000 0.000 0.000 7.656" Properties=species:S:1:pos:R:3 pbc="T T T"
Rb 0.000 0.000 0.000
Tm 3.651 2.108 3.828
Ge 0.000 4.215 3.828
Br 2.724 0.037 5.435
Br 1.395 2.341 2.222
Br 4.577 0.037 2.222
Br 2.321 3.945 5.435
Br 5.907 2.341 5.435
Br 4.980 3.945 2.222
```



The following is a GGA-PBE calculation of a relaxed structure of Rb2VGeBr6, from Alexandria.

## Properties
Formation energy from raw total energies, eV per atom: -1.082
Calculated volume, Å³/cell: 322.7
DOS(E_F), states/eV per atom: 0.000
Space-group type: No. 225

Geometry as extended XYZ:
```
10
Lattice="0.000 5.444 5.444 5.444 0.000 5.444 5.444 5.444 0.000" Properties=species:S:1:pos:R:3 pbc="T T T"
Rb 2.722 2.722 2.722
Rb 8.166 8.166 8.166
V 0.000 0.000 0.000
Ge 5.444 5.444 5.444
Br 5.444 5.444 2.650
Br 5.444 2.650 5.444
Br 8.237 5.444 5.444
Br 2.650 5.444 5.444
Br 5.444 8.237 5.444
Br 5.444 5.444 8.237
```



The following is a GGA-PBE calculation of a relaxed structure of Rb2GeWBr6, from Alexandria.

## Properties
Formation energy from raw total energies, eV per atom: -0.728
Calculated volume, Å³/cell: 337.7
DOS(E_F), states/eV per atom: 0.236
Space-group type: No. 139

Geometry as extended XYZ:
```
10
Lattice="-3.901 3.901 5.546 3.901 -3.901 5.546 3.901 3.901 -5.546" Properties=species:S:1:pos:R:3 pbc="T T T"
Rb 3.901 0.000 2.773
Rb 0.000 3.901 2.773
Ge 0.000 0.000 0.000
W 0.000 0.000 5.546
Br 2.029 2.029 0.000
Br 1.872 -1.872 5.546
Br 0.000 0.000 2.891
Br 0.000 0.000 8.202
Br -1.872 1.872 5.546
Br 1.872 1.872 5.546
```



The following is a GGA-PBE calculation of a relaxed structure of RbZn2GeBr, from Alexandria.

## Properties
Formation energy from raw total energies, eV per atom: -0.197
Calculated volume, Å³/cell: 174.2
DOS(E_F), states/eV per atom: 0.450
Space-group type: No. 123

Geometry as extended XYZ:
```
5
Lattice="4.818 0.000 0.000 0.000 4.818 0.000 0.000 0.000 7.504" Properties=species:S:1:pos:R:3 pbc="T T T"
Rb 0.000 0.000 0.000
Zn 0.000 2.409 3.752
Zn 2.409 0.000 3.752
Ge 2.409 2.409 3.752
Br 2.409 2.409 0.000
```